First-principles (PBE) data for a relaxed PrB4Ru4 crystal, as listed in Alexandria via LeMat-Bulk.

a b c (Å): 9.283 9.283 9.283
angles (deg): 131.85 131.85 70.46
Positions (direct):
Pr (0.000, 0.500, 0.500)
Ru (0.833, 0.073, 0.529)
Pr (0.750, 0.750, 0.000)
B (0.585, 0.562, 0.311)
Ru (0.823, 0.793, 0.740)
B (0.438, 0.749, 0.024)
Ru (0.323, 0.583, 0.029)
Ru (0.927, 0.457, 0.760)
Ru (0.696, 0.167, 0.240)
Pr (0.250, 0.250, 0.000)
B (0.251, 0.275, 0.689)
Ru (0.543, 0.304, 0.471)
Ru (0.043, 0.573, 0.240)
B (0.225, 0.249, 0.311)
B (0.665, 0.475, 0.476)
Ru (0.554, 0.293, 0.971)
B (0.725, 0.415, 0.976)
B (0.312, 0.501, 0.476)
Ru (0.207, 0.946, 0.029)
Pr (0.500, 0.000, 0.500)
B (0.085, 0.775, 0.024)
Ru (0.917, 0.177, 0.971)
B (0.812, 0.335, 0.811)
Ru (0.333, 0.804, 0.760)
B (0.499, 0.975, 0.811)
Ru (0.196, 0.957, 0.529)
B (0.938, 0.915, 0.689)
B (0.525, 0.001, 0.189)
Ru (0.417, 0.446, 0.740)
B (0.025, 0.835, 0.524)
B (0.999, 0.188, 0.524)
B (0.751, 0.062, 0.976)
Ru (0.054, 0.083, 0.260)
Ru (0.707, 0.677, 0.260)
B (0.165, 0.688, 0.189)
Ru (0.427, 0.667, 0.471)

Output
**Space-group type**: I4_1/acd (142)
**Calculated total energy**: -290.0 eV per cell



First-principles (PBE) data for a relaxed PrB2Ru3 crystal, as listed in Alexandria via LeMat-Bulk.

a b c (Å): 3.582 9.013 9.013
angles (deg): 120.00 90.00 90.00
Positions (direct):
B (0.500, 0.623, 0.811)
B (0.500, 0.811, 0.623)
Ru (0.500, 0.500, 0.500)
Ru (0.500, 0.500, 0.000)
Ru (0.000, 0.716, 0.000)
Ru (0.000, 0.000, 0.716)
B (0.500, 0.189, 0.377)
Ru (0.500, 0.000, 0.500)
B (0.500, 0.189, 0.811)
Ru (0.000, 0.284, 0.000)
Pr (0.000, 0.333, 0.667)
Ru (0.000, 0.716, 0.716)
Ru (0.000, 0.284, 0.284)
Ru (0.000, 0.000, 0.284)
Pr (0.500, 0.000, 0.000)
B (0.500, 0.811, 0.189)
Pr (0.000, 0.667, 0.333)
B (0.500, 0.377, 0.189)

Output
**Space-group type**: P6/mmm (191)
**Calculated total energy**: -140.2 eV per cell



First-principles (PBE) data for a relaxed PrBS crystal, as listed in Alexandria via LeMat-Bulk.

a b c (Å): 4.038 3.754 11.512
angles (deg): 102.95 90.00 122.53
Positions (direct):
Pr (0.896, 0.793, 0.809)
S (0.176, 0.353, 0.672)
B (0.364, 0.729, 0.000)
B (0.636, 0.271, 0.000)
Pr (0.104, 0.207, 0.191)
S (0.824, 0.647, 0.328)

Output
**Raw formation energy**: -0.5861 eV per atom
**Space-group type**: C2/m (12)
**Calculated total energy**: -34.7 eV per cell



First-principles (PBE) data for a relaxed Pr3BS6 crystal, as listed in Alexandria via LeMat-Bulk.

a b c (Å): 6.501 8.720 8.720
angles (deg): 101.74 90.00 90.00
Positions (direct):
S (0.160, 0.109, 0.603)
S (0.694, 0.316, 0.363)
S (0.734, 0.206, 0.794)
S (0.160, 0.397, 0.891)
S (0.194, 0.684, 0.637)
Pr (0.899, 0.605, 0.395)
B (0.034, 0.194, 0.806)
S (0.660, 0.891, 0.397)
Pr (0.484, 0.920, 0.714)
Pr (0.399, 0.395, 0.605)
B (0.534, 0.806, 0.194)
Pr (0.484, 0.286, 0.080)
S (0.234, 0.794, 0.206)
Pr (0.984, 0.080, 0.286)
Pr (0.984, 0.714, 0.920)
S (0.694, 0.637, 0.684)
S (0.644, 0.944, 0.056)
S (0.144, 0.056, 0.944)
S (0.194, 0.363, 0.316)
S (0.660, 0.603, 0.109)

Output
**Raw formation energy**: -1.6008 eV per atom
**Space-group type**: Cmc2_1 (36)
**Calculated total energy**: -123.6 eV per cell



First-principles (PBE) data for a relaxed PrBS2 crystal, as listed in Alexandria via LeMat-Bulk.

a b c (Å): 3.296 3.296 8.189
angles (deg): 78.39 78.39 60.00
Positions (direct):
B (0.500, 0.500, 0.500)
S (0.118, 0.118, 0.645)
S (0.882, 0.882, 0.355)
Pr (0.000, 0.000, 0.000)

Output
**Raw formation energy**: 0.1483 eV per atom
**Space-group type**: R-3m (166)
**Calculated total energy**: -19.1 eV per cell



First-principles (PBE) data for a relaxed Pr6BS12 crystal, as listed in Alexandria via LeMat-Bulk.

a b c (Å): 7.915 7.915 7.915
angles (deg): 99.25 99.25 99.25
Positions (direct):
B (0.000, 0.000, 0.000)
Pr (0.716, 0.867, 0.375)
Pr (0.867, 0.375, 0.716)
S (0.446, 0.582, 0.177)
S (0.177, 0.446, 0.582)
S (0.945, 0.027, 0.719)
S (0.823, 0.554, 0.418)
S (0.973, 0.281, 0.055)
S (0.055, 0.973, 0.281)
S (0.281, 0.055, 0.973)
S (0.418, 0.823, 0.554)
Pr (0.284, 0.133, 0.625)
Pr (0.625, 0.284, 0.133)
S (0.719, 0.945, 0.027)
Pr (0.375, 0.716, 0.867)
S (0.582, 0.177, 0.446)
S (0.027, 0.719, 0.945)
Pr (0.133, 0.625, 0.284)
S (0.554, 0.418, 0.823)

Output
**Raw formation energy**: -1.3397 eV per atom
**Space-group type**: R-3 (148)
**Calculated total energy**: -110.3 eV per cell



First-principles (PBE) data for a relaxed PrBSb crystal, as listed in Alexandria via LeMat-Bulk.

a b c (Å): 3.294 7.331 5.898
angles (deg): 88.48 90.00 102.98
Positions (direct):
B (0.268, 0.537, 0.514)
Sb (0.392, 0.785, 0.773)
Pr (0.100, 0.199, 0.737)
B (0.732, 0.463, 0.486)
Pr (0.900, 0.801, 0.263)
Sb (0.608, 0.215, 0.227)

Output
**Raw formation energy**: -0.3920 eV per atom
**Space-group type**: C2/m (12)
**Calculated total energy**: -33.5 eV per cell



First-principles (PBE) data for a relaxed PrBSe crystal, as listed in Alexandria via LeMat-Bulk.

a b c (Å): 4.125 3.823 11.676
angles (deg): 107.14 90.00 122.65
Positions (direct):
Pr (0.138, 0.275, 0.186)
B (0.370, 0.739, 0.000)
Pr (0.862, 0.725, 0.814)
Se (0.110, 0.219, 0.658)
Se (0.890, 0.781, 0.342)
B (0.630, 0.261, 0.000)

Output
**Raw formation energy**: -0.4801 eV per atom
**Space-group type**: C2/m (12)
**Calculated total energy**: -32.8 eV per cell



First-principles (PBE) data for a relaxed Pr3BSe6 crystal, as listed in Alexandria via LeMat-Bulk.

a b c (Å): 6.796 9.110 9.110
angles (deg): 101.56 90.00 90.00
Positions (direct):
Se (0.166, 0.105, 0.597)
Se (0.189, 0.691, 0.632)
Se (0.666, 0.597, 0.105)
Pr (0.988, 0.080, 0.282)
B (0.535, 0.805, 0.195)
Se (0.727, 0.209, 0.791)
Pr (0.488, 0.920, 0.718)
Pr (0.988, 0.718, 0.920)
Pr (0.488, 0.282, 0.080)
B (0.035, 0.195, 0.805)
Se (0.148, 0.054, 0.946)
Se (0.227, 0.791, 0.209)
Pr (0.388, 0.397, 0.603)
Pr (0.888, 0.603, 0.397)
Se (0.689, 0.309, 0.368)
Se (0.689, 0.632, 0.691)
Se (0.189, 0.368, 0.309)
Se (0.666, 0.895, 0.403)
Se (0.166, 0.403, 0.895)
Se (0.648, 0.946, 0.054)

Output
**Raw formation energy**: -1.3978 eV per atom
**Space-group type**: Cmc2_1 (36)
**Calculated total energy**: -111.8 eV per cell



First-principles (PBE) data for a relaxed PrSmB12 crystal, as listed in Alexandria via LeMat-Bulk.

a b c (Å): 5.844 5.844 4.134
angles (deg): 90.00 90.00 90.00
Positions (direct):
B (0.000, 0.500, 0.800)
B (0.500, 0.000, 0.800)
B (0.850, 0.650, 0.500)
B (0.350, 0.850, 0.500)
B (0.000, 0.500, 0.200)
Pr (0.000, 0.000, 0.000)
B (0.350, 0.150, 0.500)
B (0.500, 0.000, 0.200)
B (0.650, 0.850, 0.500)
B (0.150, 0.650, 0.500)
Sm (0.500, 0.500, 0.000)
B (0.150, 0.350, 0.500)
B (0.850, 0.350, 0.500)
B (0.650, 0.150, 0.500)

Output
**Space-group type**: P4/mmm (123)
**Calculated total energy**: -96.2 eV per cell



First-principles (PBE) data for a relaxed Pr2SmB9 crystal, as listed in Alexandria via LeMat-Bulk.

a b c (Å): 4.487 4.487 10.208
angles (deg): 77.30 77.30 60.00
Positions (direct):
Sm (0.000, 0.000, 0.000)
B (0.606, 0.968, 0.821)
Pr (0.117, 0.117, 0.650)
B (0.968, 0.606, 0.821)
B (0.397, 0.397, 0.810)
B (0.394, 0.394, 0.179)
B (0.032, 0.394, 0.179)
B (0.606, 0.606, 0.821)
B (0.603, 0.603, 0.190)
B (0.394, 0.032, 0.179)
B (0.500, 0.500, 0.500)
Pr (0.883, 0.883, 0.350)

Output
**Space-group type**: R-3m (166)
**Calculated total energy**: -75.6 eV per cell



First-principles (PBE) data for a relaxed PrSmB12 crystal, as listed in Alexandria via LeMat-Bulk.

a b c (Å): 4.132 4.132 8.265
angles (deg): 90.00 90.00 90.00
Positions (direct):
Sm (0.000, 0.000, 0.000)
B (0.800, 0.500, 0.751)
B (0.500, 0.200, 0.249)
B (0.800, 0.500, 0.249)
Pr (0.000, 0.000, 0.500)
B (0.500, 0.500, 0.400)
B (0.500, 0.500, 0.099)
B (0.200, 0.500, 0.751)
B (0.500, 0.500, 0.901)
B (0.500, 0.500, 0.600)
B (0.200, 0.500, 0.249)
B (0.500, 0.200, 0.751)
B (0.500, 0.800, 0.249)
B (0.500, 0.800, 0.751)

Output
**Space-group type**: P4/mmm (123)
**Calculated total energy**: -96.2 eV per cell



First-principles (PBE) data for a relaxed Tb3PrB crystal, as listed in Alexandria via LeMat-Bulk.

a b c (Å): 5.212 5.212 5.212
angles (deg): 90.00 90.00 90.00
Positions (direct):
B (0.000, 0.000, 0.000)
Tb (0.500, 0.000, 0.000)
Tb (0.000, 0.000, 0.500)
Tb (0.000, 0.500, 0.000)
Pr (0.500, 0.500, 0.500)

Output
**Space-group type**: Pm-3m (221)
**Calculated total energy**: -25.0 eV per cell



First-principles (PBE) data for a relaxed Pr3TcB7 crystal, as listed in Alexandria via LeMat-Bulk.

a b c (Å): 3.661 8.434 9.667
angles (deg): 90.00 90.00 102.53
Positions (direct):
Pr (0.897, 0.794, 0.938)
B (0.533, 0.067, 0.250)
B (0.368, 0.736, 0.153)
B (0.475, 0.950, 0.398)
B (0.726, 0.451, 0.968)
B (0.632, 0.264, 0.847)
B (0.632, 0.264, 0.653)
Pr (0.243, 0.486, 0.750)
B (0.525, 0.050, 0.898)
B (0.274, 0.549, 0.468)
B (0.525, 0.050, 0.602)
Tc (0.943, 0.887, 0.250)
Pr (0.897, 0.794, 0.562)
Pr (0.103, 0.206, 0.062)
Pr (0.757, 0.514, 0.250)
B (0.467, 0.933, 0.750)
B (0.726, 0.451, 0.532)
B (0.274, 0.549, 0.032)
B (0.368, 0.736, 0.347)
B (0.475, 0.950, 0.102)
Pr (0.103, 0.206, 0.438)
Tc (0.057, 0.113, 0.750)

Output
**Space-group type**: Cmcm (63)
**Calculated total energy**: -151.2 eV per cell



First-principles (PBE) data for a relaxed PrTcB14 crystal, as listed in Alexandria via LeMat-Bulk.

a b c (Å): 5.897 7.470 7.470
angles (deg): 67.66 66.75 66.75
Positions (direct):
B (0.176, 0.627, 0.528)
B (0.223, 0.779, 0.099)
B (0.417, 0.751, 0.415)
B (0.083, 0.085, 0.749)
B (0.334, 0.631, 0.701)
B (0.917, 0.915, 0.251)
B (0.879, 0.754, 0.487)
B (0.169, 0.028, 0.127)
B (0.166, 0.799, 0.869)
B (0.777, 0.221, 0.901)
B (0.723, 0.599, 0.279)
B (0.399, 0.599, 0.279)
Tc (0.500, 0.000, 0.500)
B (0.101, 0.221, 0.901)
Pr (0.750, 0.624, 0.876)
B (0.669, 0.627, 0.528)
B (0.676, 0.028, 0.127)
B (0.277, 0.401, 0.721)
B (0.583, 0.249, 0.585)
B (0.834, 0.201, 0.131)
B (0.324, 0.972, 0.873)
Tc (0.000, 0.000, 0.500)
B (0.379, 0.987, 0.254)
B (0.121, 0.246, 0.513)
B (0.601, 0.401, 0.721)
Pr (0.250, 0.376, 0.124)
B (0.666, 0.369, 0.299)
B (0.331, 0.373, 0.472)
B (0.831, 0.972, 0.873)
B (0.824, 0.373, 0.472)
B (0.899, 0.779, 0.099)
B (0.621, 0.013, 0.746)

Output
**Space-group type**: Imma (74)
**Calculated total energy**: -220.2 eV per cell



First-principles (PBE) data for a relaxed PrTc4B2 crystal, as listed in Alexandria via LeMat-Bulk.

a b c (Å): 4.036 4.067 7.048
angles (deg): 106.77 90.00 90.00
Positions (direct):
Tc (0.000, 0.307, 0.614)
B (0.500, 0.375, 0.749)
Tc (0.000, 0.693, 0.386)
Tc (0.500, 0.819, 0.638)
Pr (0.000, 0.000, 0.000)
Tc (0.500, 0.181, 0.362)
B (0.500, 0.625, 0.251)

Output
**Space-group type**: Cmmm (65)
**Calculated total energy**: -60.5 eV per cell



First-principles (PBE) data for a relaxed PrTc2B4 crystal, as listed in Alexandria via LeMat-Bulk.

a b c (Å): 5.873 5.652 6.521
angles (deg): 115.68 109.48 90.00
Positions (direct):
Tc (0.163, 0.811, 0.483)
Tc (0.663, 0.673, 0.483)
B (0.972, 0.959, 0.711)
B (0.302, 0.379, 0.162)
B (0.028, 0.041, 0.289)
B (0.198, 0.218, 0.838)
B (0.528, 0.248, 0.289)
Pr (0.750, 0.241, 0.000)
Pr (0.250, 0.759, 0.000)
B (0.472, 0.752, 0.711)
B (0.698, 0.621, 0.838)
B (0.802, 0.782, 0.162)
Tc (0.837, 0.189, 0.517)
Tc (0.337, 0.327, 0.517)

Output
**Space-group type**: C2/c (15)
**Calculated total energy**: -105.6 eV per cell



First-principles (PBE) data for a relaxed Pr2TcB10 crystal, as listed in Alexandria via LeMat-Bulk.

a b c (Å): 4.226 5.808 11.581
angles (deg): 90.00 90.00 90.00
Positions (direct):
B (0.000, 0.631, 0.803)
B (0.000, 0.562, 0.307)
Tc (0.000, 0.000, 0.000)
Pr (0.500, 0.218, 0.367)
Pr (0.500, 0.282, 0.867)
B (0.701, 0.775, 0.881)
Tc (0.000, 0.500, 0.500)
B (0.299, 0.275, 0.619)
B (0.701, 0.725, 0.381)
B (0.000, 0.119, 0.542)
B (0.299, 0.225, 0.119)
B (0.701, 0.225, 0.119)
B (0.000, 0.938, 0.807)
B (0.299, 0.725, 0.381)
B (0.000, 0.881, 0.458)
B (0.000, 0.062, 0.193)
Pr (0.500, 0.782, 0.633)
B (0.000, 0.869, 0.303)
B (0.000, 0.438, 0.693)
B (0.000, 0.381, 0.042)
B (0.000, 0.131, 0.697)
B (0.701, 0.275, 0.619)
B (0.000, 0.619, 0.958)
Pr (0.500, 0.718, 0.133)
B (0.299, 0.775, 0.881)
B (0.000, 0.369, 0.197)

Output
**Space-group type**: Pbam (55)
**Calculated total energy**: -184.5 eV per cell